1.
12
Lattice="-0.3186 3.1144 -3.7001 -3.7577 2.1989 2.1107 4.0035 3.9672 2.9945" Properties=species:S:1:pos:R:3 comment="LiZn2AgF8 (GGA-PBE, relaxed)" e_form_raw_kj_per_mol_atoms=-190.1 pbc="T T T"
F -1.2386 1.6169 -0.4860
F 1.1658 7.6637 1.8910
F -0.0242 3.9148 -1.7884
F -0.0486 5.3658 3.1934
F 0.7216 3.6556 0.9935
F 1.9982 5.9189 -0.2757
F -0.7945 5.6250 0.4115
F -2.0710 3.3616 1.6808
Zn -1.0922 3.5941 -0.0871
Zn 1.0194 5.6864 1.4922
Ag 2.0017 1.9836 1.4972
Li 0.0000 0.0000 0.0000

=====

2.
9
Lattice="8.4586 -0.0094 0.6380 4.2375 6.1950 0.3214 0.6194 0.0044 8.0236" Properties=species:S:1:pos:R:3 comment="KPrCuI6 (GGA-PBE, relaxed)" e_form_raw_kj_per_mol_atoms=-90.2 pbc="T T T"
I 7.3330 2.2899 6.8385
I 1.7156 2.2883 1.7890
I 5.9761 3.9696 3.0866
I 11.5529 3.9274 6.2325
I 3.7918 0.2270 6.0718
I 5.3181 0.2467 2.6138
K 4.8482 5.8753 8.3247
Cu 4.5701 2.1002 4.3600
Pr 8.7738 3.8403 4.6382

=====

Values of Fermi-level density of states, in order: 0.242, 0.243, all in states/eV/atom.
Values of total moment, in order: 0.15, 0.11, all in μB per atom.